This record from Alexandria via LeMat-Bulk describes a geometry-optimized NiBr2O structure. The functional is GGA+U.

Unit cell a=7.891 b=7.891 c=7.891 alpha=29.07 beta=29.07 gamma=29.07
Positions (direct):
Ni 0.000 0.000 0.000
Br 0.102 0.102 0.102
Br 0.898 0.898 0.898
O 0.500 0.500 0.500

Computed properties:
* uncorrected energy: -1.94 eV per atom
* magnetic moment: 0.4967 μB per atom